Record 1
PrErS2F2 | PBE-GGA | optimized geometry

abc: 3.8146 3.8146 6.8438
angles: 90.00 90.00 90.00
Closest atoms and distances in Å follow each position.
Space group P4mm (No. 99)
Symmetry-distinct sites (fractional):
Pr (0.0000, 0.0000, 0.0000) x1  4 F 2.50
Er (0.5000, 0.5000, 0.5408) x1  4 F 2.44
S (0.0000, 0.0000, 0.4241) x1  4 Er 2.81, 1 Pr 2.90, 4 F 3.00
S (0.5000, 0.5000, 0.1377) x1  1 Er 2.76, 4 Pr 2.86
F (0.0000, 0.5000, 0.7632) x2  2 Er 2.44, 2 Pr 2.50, 4 F 2.70

Output
Final energy ... -39.14 eV per formula unit
Total magnetic moment ... 0.0 μB per formula unit

***

Record 2
RbErF3 | PBE-GGA | optimized geometry

abc: 6.2326 6.3004 4.4303
angles: 90.00 90.00 90.00
Closest atoms and distances in Å follow each position.
Space group Cmmm (No. 65)
Symmetry-distinct sites (fractional):
Rb (0.0000, 0.0000, 0.0000) x2  12 F 3.12-3.15
Er (0.0000, 0.5000, 0.5000) x2  6 F 2.22
F (0.0000, 0.5000, 0.0000) x2  2 Er 2.22
F (0.2500, 0.2500, 0.5000) x4  2 Er 2.22

Output
Final energy ... -26.11 eV per formula unit
Total magnetic moment ... 0.3 μB per formula unit

***

Number 1 is which compound? PrErS2F2

***

Among the records above, which one has the highest final energy? RbErF3